(1)
K3TcS4 | PBE | relaxed

Values from the calculation:
Its final energy is -4.617 eV/atom. For the uncorrected formation energy, the calculation gives -846 meV per atom. Its space group is Pmn2_1 (31).

Unit cell a=6.3166 b=6.3748 c=12.2654 alpha=90.00 beta=90.00 gamma=90.00
Fractional coordinates of all 16 atoms:
K 0.0834 0.7707 0.7500
S 0.5913 0.7224 0.6596
Tc 0.4750 0.8508 0.5000
K 0.0834 0.7707 0.2500
K 0.5834 0.2293 0.2500
K 0.0350 0.3170 0.5000
S 0.5913 0.7224 0.3404
S 0.0913 0.2776 0.8404
S 0.6243 0.1809 0.0000
S 0.1243 0.8191 0.5000
K 0.5350 0.6830 0.0000
Tc 0.9750 0.1492 0.0000
S 0.0316 0.8050 0.0000
K 0.5834 0.2293 0.7500
S 0.5316 0.1950 0.5000
S 0.0913 0.2776 0.1596


(2)
CaCuBiBr2 | PBE | relaxed

Values from the calculation:
Its final energy is -2.839 eV/atom. For the uncorrected formation energy, the calculation gives -174 meV per atom. Its space group is P4/mmm (123).

Unit cell a=5.4005 b=6.2038 c=5.4005 alpha=90.00 beta=90.00 gamma=90.00
Fractional coordinates of all 5 atoms:
Br 0.5000 0.0000 0.0000
Ca 0.0000 0.0000 0.0000
Br 0.0000 0.0000 0.5000
Bi 0.5000 0.5000 0.5000
Cu 0.0000 0.5000 0.0000


(3)
Pm2Ho4Er | PBE | relaxed

Values from the calculation:
Its final energy is -4.487 eV/atom. The value obtained for the formation energy is 0.97 eV per formula unit. Its space group is P2_1/m (11).

Unit cell a=6.0919 b=6.5818 c=11.5789 alpha=90.00 beta=104.72 gamma=90.00
Fractional coordinates of all 14 atoms:
Ho 0.0061 0.2500 0.1593
Ho 0.6375 0.4985 0.2880
Ho 0.9939 0.7500 0.8407
Er 0.8392 0.2500 0.8551
Pm 0.6068 0.7500 0.0034
Ho 0.8592 0.2500 0.5701
Ho 0.1408 0.7500 0.4299
Ho 0.3625 0.9985 0.7120
Ho 0.3625 0.5015 0.7120
Pm 0.7040 0.7500 0.5567
Er 0.1608 0.7500 0.1449
Pm 0.2960 0.2500 0.4433
Ho 0.6375 0.0015 0.2880
Pm 0.3932 0.2500 0.9966


(4)
NaNpHg2 | PBE | relaxed

Values from the calculation:
Its final energy is -3.656 eV/atom. The value obtained for the formation energy is 0.24 eV per formula unit. Its space group is P4/mmm (123).

Unit cell a=3.2029 b=3.2029 c=9.4578 alpha=90.00 beta=90.00 gamma=90.00
Fractional coordinates of all 4 atoms:
Hg 0.0000 0.0000 0.2529
Np 0.5000 0.5000 0.0000
Hg 0.0000 0.0000 0.7471
Na 0.5000 0.5000 0.5000


(5)
Li2AgMo | PBE | relaxed

Values from the calculation:
Its final energy is -3.720 eV/atom. The value obtained for the formation energy is 2.63 eV per formula unit. Its space group is Fm-3m (225).

Unit cell a=4.4008 b=4.4008 c=4.4008 alpha=60.00 beta=60.00 gamma=60.00
Fractional coordinates of all 4 atoms:
Li 0.2500 0.2500 0.2500
Ag 0.5000 0.5000 0.5000
Li 0.7500 0.7500 0.7500
Mo 0.0000 0.0000 0.0000


(6)
Ca6AsI3N2 | PBE | relaxed

Values from the calculation:
Its final energy is -4.385 eV/atom. For the uncorrected formation energy, the calculation gives -1221 meV per atom. Its space group is C2/m (12).

Unit cell a=6.9135 b=6.9135 c=7.8104 alpha=98.48 beta=98.48 gamma=119.98
Fractional coordinates of all 12 atoms:
Ca 0.9426 0.5720 0.8273
Ca 0.0574 0.4280 0.1727
Ca 0.6867 0.6867 0.1712
N 0.3335 0.6665 0.0000
I 0.5000 0.5000 0.5000
N 0.6665 0.3335 0.0000
Ca 0.5720 0.9426 0.8273
I 0.1628 0.8372 0.5000
As 0.0000 0.0000 0.0000
I 0.8372 0.1628 0.5000
Ca 0.4280 0.0574 0.1727
Ca 0.3133 0.3133 0.8288


(7)
Cs2NpCl8 | PBE | relaxed

Values from the calculation:
Its final energy is -4.163 eV/atom. For the uncorrected formation energy, the calculation gives -1488 meV per atom. Its space group is C2/m (12).

Unit cell a=5.8919 b=9.3678 c=9.3677 alpha=75.80 beta=79.55 gamma=79.55
Fractional coordinates of all 11 atoms:
Cl 0.3171 0.8490 0.8490
Np 0.0000 0.0000 0.0000
Cl 0.8011 0.0834 0.7715
Cl 0.1989 0.9166 0.2285
Cl 0.6829 0.1510 0.1510
Cs 0.1071 0.2965 0.2965
Cl 0.2706 0.4986 0.4986
Cl 0.7294 0.5014 0.5014
Cl 0.1989 0.2285 0.9166
Cs 0.8929 0.7035 0.7035
Cl 0.8011 0.7715 0.0834


(8)
CoSn2HgCl | PBE | relaxed

Values from the calculation:
Its final energy is -3.659 eV/atom. For the uncorrected formation energy, the calculation gives -207 meV per atom. Its space group is P4/mmm (123).

Unit cell a=4.8579 b=4.8579 c=5.1378 alpha=90.00 beta=90.00 gamma=90.00
Fractional coordinates of all 5 atoms:
Sn 0.0000 0.5000 0.0000
Cl 0.5000 0.5000 0.5000
Hg 0.0000 0.0000 0.5000
Sn 0.5000 0.0000 0.0000
Co 0.0000 0.0000 0.0000


(9)
Hf3HgC | PBE | relaxed

Values from the calculation:
Its final energy is -8.315 eV/atom. The value obtained for the formation energy is -2.19 eV per formula unit. Its space group is P2/m (10).

Unit cell a=7.1225 b=4.4611 c=6.5902 alpha=90.00 beta=62.03 gamma=90.00
Fractional coordinates of all 10 atoms:
Hg 0.8905 0.2350 0.9543
Hf 0.1470 0.7350 0.5776
C 0.3905 0.7350 0.7040
Hf 0.3905 0.2350 0.7040
C 0.3905 0.7350 0.2040
Hf 0.6341 0.7350 0.3305
Hg 0.8906 0.2350 0.4543
Hf 0.3905 0.2350 0.2040
Hf 0.1470 0.7350 0.0776
Hf 0.6341 0.7350 0.8305


(10)
LaAgIr2 | PBE | relaxed

Values from the calculation:
Its final energy is -6.402 eV/atom. The value obtained for the formation energy is -0.11 eV per formula unit. Its space group is Cm (8).

Unit cell a=5.8258 b=5.8258 c=5.1401 alpha=61.57 beta=61.57 gamma=30.67
Fractional coordinates of all 4 atoms:
Ir 0.0209 0.0209 0.9068
Ir 0.7213 0.7213 0.8584
La 0.4869 0.4869 0.4633
Ag 0.2710 0.2710 0.2716


(11)
YScCo4 | PBE | relaxed

Values from the calculation:
Its final energy is -7.122 eV/atom. The value obtained for the formation energy is -1.51 eV per formula unit. Its space group is F-43m (216).

Unit cell a=4.9863 b=4.9863 c=4.9863 alpha=60.00 beta=60.00 gamma=60.00
Fractional coordinates of all 6 atoms:
Sc 0.2500 0.2500 0.2500
Co 0.1269 0.6244 0.6244
Co 0.6244 0.6244 0.1269
Co 0.6244 0.6244 0.6244
Co 0.6244 0.1269 0.6244
Y 0.0000 0.0000 0.0000


(12)
CsAuS2O8 | PBE | relaxed

Values from the calculation:
Its final energy is -5.563 eV/atom. For the uncorrected formation energy, the calculation gives -1225 meV per atom. Its space group is P2_1/c (14).

Unit cell a=9.2485 b=9.4109 c=10.5331 alpha=90.00 beta=111.70 gamma=90.00
Fractional coordinates of all 48 atoms:
O 0.4681 0.2106 0.2010
Au 0.8697 0.1443 0.2892
O 0.1659 0.5892 0.5362
O 0.3889 0.5995 0.8651
O 0.1708 0.3557 0.1187
O 0.5636 0.7616 0.0408
Cs 0.1120 0.3650 0.7585
O 0.0636 0.7384 0.0408
O 0.3292 0.8557 0.8813
O 0.3680 0.4032 0.6136
O 0.9364 0.2616 0.9592
O 0.5319 0.7894 0.7990
O 0.5707 0.3598 0.4563
O 0.8341 0.4108 0.4638
S 0.8035 0.9761 0.5262
S 0.9560 0.7610 0.9017
O 0.7518 0.0121 0.3709
Cs 0.3880 0.8650 0.2415
O 0.9681 0.2894 0.2010
O 0.4364 0.2384 0.9592
O 0.8889 0.9005 0.8651
O 0.6708 0.1443 0.1187
S 0.1965 0.0239 0.4738
O 0.6320 0.5968 0.3864
O 0.0319 0.7106 0.7990
S 0.3035 0.5239 0.5262
O 0.6659 0.9108 0.5362
Cs 0.6120 0.1350 0.7585
O 0.1111 0.0995 0.1349
O 0.2482 0.9879 0.6291
O 0.3341 0.0892 0.4638
O 0.7482 0.5121 0.6291
S 0.5440 0.2610 0.0983
O 0.1320 0.9032 0.3864
O 0.2518 0.4879 0.3709
O 0.9293 0.8598 0.5437
Au 0.3697 0.3557 0.2892
Au 0.1303 0.8557 0.7108
O 0.0707 0.1402 0.4563
O 0.8680 0.0968 0.6136
O 0.6111 0.4005 0.1349
S 0.0440 0.2390 0.0983
O 0.8292 0.6443 0.8813
Au 0.6303 0.6443 0.7108
S 0.6965 0.4761 0.4738
O 0.4293 0.6402 0.5437
S 0.4560 0.7390 0.9017
Cs 0.8880 0.6350 0.2415